# 1
DFT (PBE) results for a geometry-optimized Li6PtRh structure.

E_form = -18.2 kJ per mole of atoms
M_tot = 0.0 μB per formula unit
Space-group type = C2/m
Energy above the most stable polymorph in this dataset = 0.0591 eV per atom
V = 14.156 A^3/atom

abc: 4.970 4.970 7.255
angles: 109.91 109.91 120.16
Fractional positions:
Li  0.751  0.251  0.749
Li  0.750  0.750  0.251
Li  0.250  0.250  0.749
Li  0.251  0.751  0.749
Li  0.249  0.749  0.251
Li  0.749  0.249  0.251
Rh  0.500  0.500  0.500
Pt  0.000  0.000  0.000

# 2
DFT (PBE) results for a geometry-optimized LiPt2Rh structure.

E_form = -31.2 kJ per mole of atoms
M_tot = 0.0 μB per formula unit
Space-group type = P4/mmm
Energy above the most stable polymorph in this dataset = 0.0672 eV per atom
V = 14.274 A^3/atom

abc: 3.854 3.849 3.849
angles: 90.00 90.00 90.00
Fractional positions:
Li  0.500  0.000  0.500
Rh  0.500  0.500  0.000
Pt  0.000  0.500  0.500
Pt  0.000  0.000  0.000

# 3
DFT (PBE) results for a geometry-optimized Li2PtRh2 structure.

E_form = 1.9 kJ per mole of atoms
M_tot = 0.0 μB per formula unit
Space-group type = P4/mbm
Energy above the most stable polymorph in this dataset = 0.0695 eV per atom
V = 13.533 A^3/atom

abc: 6.951 6.951 2.801
angles: 90.00 90.00 90.00
Fractional positions:
Li  0.828  0.328  0.500
Li  0.172  0.672  0.500
Li  0.672  0.828  0.500
Li  0.328  0.172  0.500
Rh  0.128  0.372  0.000
Rh  0.872  0.628  0.000
Rh  0.628  0.128  0.000
Rh  0.372  0.872  0.000
Pt  0.000  0.000  0.000
Pt  0.500  0.500  0.000